Record 1
A plane-wave DFT calculation with GGA-PBE was carried out for a geometry-optimized TmTh2Os structure.

**Distance to the lowest polymorph of the same formula**: 0.441 eV/atom
**N(E_F)**: 5.59 states/eV per cell

Cell: 3.916 3.916 10.501 Å, 79.25 79.25 60.00°
Element x y z (fractional)
Th  0.887  0.887  0.340
Th  0.113  0.113  0.660
Tm  0.000  0.000  0.000
Os  0.500  0.500  0.500

***

Record 2
A plane-wave DFT calculation with GGA-PBE was carried out for a geometry-optimized LaMg4Cd structure.

**Distance to the lowest polymorph of the same formula**: 0.000 eV/atom
**N(E_F)**: 6.69 states/eV per cell

Cell: 4.592 7.987 8.478 Å, 90.00 90.00 90.00°
Element x y z (fractional)
La  0.000  0.629  0.750
Mg  0.500  0.689  0.447
Mg  0.500  0.311  0.553
La  0.000  0.371  0.250
Mg  0.500  0.948  0.750
Cd  0.000  0.223  0.750
Mg  0.500  0.689  0.053
Mg  0.000  0.000  0.000
Cd  0.000  0.777  0.250
Mg  0.500  0.311  0.947
Mg  0.500  0.052  0.250
Mg  0.000  0.000  0.500

***

Record 3
A plane-wave DFT calculation with GGA-PBE was carried out for a geometry-optimized CrHgMo2 structure.

**Calculated total energy**: -7.484 eV per atom
**N(E_F)**: 3.57 states/eV per cell

Cell: 2.760 2.760 9.031 Å, 90.00 90.00 109.39°
Element x y z (fractional)
Mo  0.500  0.500  0.262
Cr  0.000  0.000  0.478
Hg  0.500  0.500  0.739
Mo  0.000  0.000  0.020